A relaxed structure of HgRh2W, computed with PBE-GGA.

Unit cell a=4.8239 b=4.8239 c=2.8530 alpha=90.00 beta=90.00 gamma=105.39
With the nearest neighbours (Å) after each atom.
Sites, in units of the cell vectors:
W1 0.5000 0.5000 0.5000  8 Rh 2.80, 2 W 2.85, 2 Hg 2.92
Rh1 0.5000 0.0000 0.0000  4 W 2.80, 4 Hg 2.80, 4 Rh 2.85-2.92
Rh2 0.0000 0.5000 0.0000  4 Hg 2.80, 4 W 2.80, 4 Rh 2.85-2.92
Hg1 0.0000 0.0000 0.5000  8 Rh 2.80, 2 Hg 2.85, 2 W 2.92

Computed properties:
- V (Å³/atom) = 16.00
- space-group type = Cmmm, No. 65
- DOS(E_F) (states/eV/cell) = 2.6
- calculated formation energy (eV/atom) = 0.216